The following is a PBE calculation of PmHo2Er2Tm after structural relaxation, from the Alexandria database.

Structure (extended XYZ):
```
12
Lattice="5.572 0.000 0.000 0.000 9.690 0.000 0.000 0.000 6.901" Properties=species:S:1:pos:R:3 pbc="T T T"
Pm 0.000 0.000 0.000
Pm 2.786 4.845 3.450
Ho 2.786 8.074 1.737
Ho 2.786 1.616 5.164
Ho 0.000 6.461 5.187
Ho 0.000 3.229 1.713
Er 2.786 1.613 1.733
Er 0.000 6.458 1.718
Er 2.786 8.077 5.168
Er 0.000 3.232 5.183
Tm 2.786 4.845 0.000
Tm 0.000 0.000 3.450
```

Output
Calculated formation energy in eV per atom: 0.07
Magnetic moment in μB per formula unit: 0.00
Energy in eV per formula unit: -27.06
Density in g cm⁻³: 8.72


The following is a PBE calculation of NaSF2 after structural relaxation, from the Alexandria database.

Structure (extended XYZ):
```
4
Lattice="-0.168 -4.330 -0.283 0.574 -2.432 3.552 -3.353 -2.160 1.718" Properties=species:S:1:pos:R:3 pbc="T T T"
Na 0.000 0.000 0.000
S -1.474 -4.461 2.494
F -0.737 -2.230 1.247
F -2.211 -6.691 3.740
```

Output
Magnetic moment in μB per formula unit: 3.00
Energy in eV per formula unit: -12.81
Density in g cm⁻³: 2.67
Formation energy (no corrections) in kJ/mol of formula units: -348.9


The following is a PBE calculation of LiGa4Cu6 after structural relaxation, from the Alexandria database.

Structure (extended XYZ):
```
11
Lattice="-2.343 2.795 -5.195 1.522 -6.160 0.121 -3.589 -1.199 5.096" Properties=species:S:1:pos:R:3 pbc="T T T"
Li 0.000 0.000 0.000
Ga -1.757 -1.231 2.715
Ga -2.297 -1.873 -0.491
Ga 0.461 -3.384 0.557
Ga -2.883 -5.436 2.459
Cu -0.388 -5.106 2.254
Cu -2.032 -3.510 3.854
Cu -2.114 0.027 -2.199
Cu -2.966 0.798 -0.050
Cu -1.943 -3.337 1.332
Cu -0.410 -1.683 -2.537
```

Output
Calculated formation energy in eV per atom: 0.01
Magnetic moment in μB per formula unit: 0.00
Energy in eV per formula unit: -38.48
Density in g cm⁻³: 6.34


The following is a PBE calculation of ThPb3 after structural relaxation, from the Alexandria database.

Structure (extended XYZ):
```
4
Lattice="-0.708 2.947 -1.870 -5.440 -2.068 -1.199 1.073 2.082 6.266" Properties=species:S:1:pos:R:3 pbc="T T T"
Pb -2.817 0.580 1.981
Pb -3.059 0.445 -1.531
Pb -0.439 3.072 1.617
Th -0.021 -0.008 -0.005
```

Output
Calculated formation energy in eV per atom: -0.16
Magnetic moment in μB per formula unit: 0.00
Energy in eV per formula unit: -19.18
Density in g cm⁻³: 11.71


The following is a PBE calculation of SrCaTi2P after structural relaxation, from the Alexandria database.

Structure (extended XYZ):
```
5
Lattice="-1.140 -2.900 -3.602 5.399 -1.631 -0.396 -0.836 -3.519 3.098" Properties=species:S:1:pos:R:3 pbc="T T T"
Sr 0.000 0.000 0.000
Ca 2.700 -0.815 -0.198
P 1.712 -4.025 -0.450
Ti -0.418 -1.760 1.549
Ti -0.570 -1.450 -1.801
```

Output
Calculated formation energy in eV per atom: 1.78
Magnetic moment in μB per formula unit: 0.00
Energy in eV per formula unit: -15.99
Density in g cm⁻³: 3.29


The following is a PBE calculation of Rb2SF4 after structural relaxation, from the Alexandria database.

Structure (extended XYZ):
```
7
Lattice="6.259 0.000 0.000 0.000 6.259 0.000 -3.130 -3.130 3.906" Properties=species:S:1:pos:R:3 pbc="T T T"
Rb 3.130 0.000 1.953
Rb 0.000 3.130 1.953
S 3.130 3.130 0.000
F 4.494 1.765 0.000
F 1.765 4.494 0.000
F 1.364 1.364 3.906
F -1.364 -1.364 3.906
```

Output
Magnetic moment in μB per formula unit: 0.01
Energy in eV per formula unit: -28.01
Density in g cm⁻³: 3.03
Formation energy (no corrections) in kJ/mol of formula units: -1394.9


The following is a PBE calculation of Sm3Er2Cd2 after structural relaxation, from the Alexandria database.

Structure (extended XYZ):
```
7
Lattice="-2.443 -4.237 1.514 2.874 -1.064 1.661 -4.706 3.282 10.245" Properties=species:S:1:pos:R:3 pbc="T T T"
Sm -3.469 -2.646 4.308
Sm 0.000 0.000 0.000
Sm -3.680 1.692 7.451
Er -3.024 -1.642 7.838
Er -1.252 -0.377 5.582
Cd -4.008 -0.117 10.517
Cd -0.268 -1.901 2.903
```

Output
Calculated formation energy in eV per atom: -0.06
Magnetic moment in μB per formula unit: 0.43
Energy in eV per formula unit: -25.52
Density in g cm⁻³: 8.21


The following is a PBE calculation of Mg2MnSb after structural relaxation, from the Alexandria database.

Structure (extended XYZ):
```
4
Lattice="-4.326 1.535 2.847 -0.095 -2.043 4.999 3.710 2.619 -2.925" Properties=species:S:1:pos:R:3 pbc="T T T"
Mg -4.421 -0.508 7.845
Mg -1.415 1.950 1.924
Mn -2.212 -0.254 3.925
Sb 0.704 0.161 2.996
```

Output
Magnetic moment in μB per formula unit: 3.33
Energy in eV per formula unit: -16.41
Density in g cm⁻³: 4.69
Formation energy (no corrections) in kJ/mol of formula units: 6.7